(1)
Density functional theory data (PBE) for Dy2ErLu4Ni2S2 after structural relaxation.

a = 8.779 Å, b = 8.779 Å, c = 8.779 Å
α = 155.52°, β = 67.47°, γ = 118.23°
Fractional coordinates of all 11 atoms:
1 Dy 0.137 0.000 0.137
2 Dy 0.863 0.000 0.863
3 Er 0.745 0.245 0.500
4 Lu 0.223 0.844 0.379
5 Lu 0.452 0.635 0.816
6 Lu 0.465 0.844 0.621
7 Lu 0.819 0.635 0.184
8 Ni 0.072 0.330 0.742
9 Ni 0.588 0.330 0.258
10 S 0.098 0.598 0.500
11 S 0.495 0.495 0.000

For the calculated density, the calculation gives 9.31 g/cm³. The total magnetization is 0.00 μB per formula unit. Its total energy is -5.524 eV/atom.

(2)
Density functional theory data (PBE) for Sm3Zn2Hg4 after structural relaxation.

a = 6.012 Å, b = 6.012 Å, c = 9.061 Å
α = 114.13°, β = 114.13°, γ = 47.28°
Fractional coordinates of all 9 atoms:
1 Sm 0.000 0.000 0.000
2 Sm 0.337 0.337 0.333
3 Sm 0.663 0.663 0.667
4 Zn 0.387 0.387 0.716
5 Zn 0.613 0.613 0.284
6 Hg 0.068 0.068 0.392
7 Hg 0.288 0.288 0.941
8 Hg 0.712 0.712 0.059
9 Hg 0.932 0.932 0.608

For the calculated density, the calculation gives 10.68 g/cm³. The total magnetization is 0.02 μB per formula unit. Its total energy is -2.406 eV/atom. As for the formation energy: -0.422 eV/atom.

(3)
Density functional theory data (PBE) for Lu3Ga5Ni after structural relaxation.

a = 6.775 Å, b = 6.775 Å, c = 4.158 Å
α = 90.00°, β = 90.00°, γ = 120.00°
Fractional coordinates of all 9 atoms:
1 Lu 0.000 0.591 0.000
2 Lu 0.409 0.409 0.000
3 Lu 0.591 0.000 0.000
4 Ga 0.000 0.235 0.500
5 Ga 0.235 0.000 0.500
6 Ga 0.333 0.667 0.500
7 Ga 0.667 0.333 0.500
8 Ga 0.765 0.765 0.500
9 Ni 0.000 0.000 0.000

For the calculated density, the calculation gives 9.37 g/cm³. The total magnetization is 0.00 μB per formula unit. Its total energy is -4.466 eV/atom.

(4)
Density functional theory data (PBE) for BeAg after structural relaxation.

a = 4.049 Å, b = 4.049 Å, c = 4.650 Å
α = 90.00°, β = 90.00°, γ = 120.00°
Fractional coordinates of all 4 atoms:
1 Be 0.333 0.667 0.250
2 Be 0.667 0.333 0.750
3 Ag 0.333 0.667 0.750
4 Ag 0.667 0.333 0.250

For the calculated density, the calculation gives 5.88 g/cm³. Its total energy is -2.640 eV/atom.

(5)
Density functional theory data (PBE) for TaFeNiSb after structural relaxation.

a = 4.445 Å, b = 4.445 Å, c = 4.445 Å
α = 60.00°, β = 60.00°, γ = 60.00°
Fractional coordinates of all 4 atoms:
1 Ta 0.000 0.000 0.000
2 Fe 0.750 0.750 0.750
3 Ni 0.500 0.500 0.500
4 Sb 0.250 0.250 0.250

The energy relative to the lowest polymorph listed for this composition is 220 meV per atom. For the calculated density, the calculation gives 11.16 g/cm³. The total magnetization is 1.81 μB per formula unit. Its total energy is -7.245 eV/atom.

(6)
Density functional theory data (PBE) for Pm4BiSb3 after structural relaxation.

a = 6.379 Å, b = 6.379 Å, c = 6.379 Å
α = 90.00°, β = 90.00°, γ = 90.00°
Fractional coordinates of all 8 atoms:
1 Pm 0.000 0.000 0.000
2 Pm 0.000 0.500 0.500
3 Pm 0.500 0.000 0.500
4 Pm 0.500 0.500 0.000
5 Bi 0.500 0.500 0.500
6 Sb 0.000 0.000 0.500
7 Sb 0.000 0.500 0.000
8 Sb 0.500 0.000 0.000

For the calculated density, the calculation gives 7.38 g/cm³. The total magnetization is 0.00 μB per formula unit. Its total energy is -5.553 eV/atom.

(7)
Density functional theory data (PBE) for Li4Cd2P after structural relaxation.

a = 4.360 Å, b = 4.360 Å, c = 6.751 Å
α = 90.00°, β = 90.00°, γ = 90.00°
Fractional coordinates of all 7 atoms:
1 Li 0.000 0.500 0.241
2 Li 0.000 0.500 0.759
3 Li 0.500 0.000 0.241
4 Li 0.500 0.000 0.759
5 Cd 0.000 0.000 0.000
6 Cd 0.500 0.500 0.500
7 P 0.500 0.500 0.000

For the calculated density, the calculation gives 3.67 g/cm³. Its total energy is -2.295 eV/atom.

(8)
Density functional theory data (PBE) for CsMg2Cd2As3 after structural relaxation.

a = 4.532 Å, b = 4.532 Å, c = 10.911 Å
α = 90.00°, β = 90.00°, γ = 90.00°
Fractional coordinates of all 8 atoms:
1 Cs 0.000 0.000 0.000
2 Mg 0.000 0.500 0.660
3 Mg 0.500 0.000 0.660
4 Cd 0.000 0.500 0.345
5 Cd 0.500 0.000 0.345
6 As 0.000 0.000 0.514
7 As 0.500 0.500 0.206
8 As 0.500 0.500 0.783

The energy relative to the lowest polymorph listed for this composition is 8 meV per atom. For the calculated density, the calculation gives 4.68 g/cm³. Its total energy is -2.936 eV/atom.

(9)
Density functional theory data (PBE) for SmZrAg4 after structural relaxation.

a = 3.675 Å, b = 3.675 Å, c = 9.247 Å
α = 90.00°, β = 90.00°, γ = 90.00°
Fractional coordinates of all 6 atoms:
1 Sm 0.000 0.000 0.000
2 Zr 0.500 0.500 0.500
3 Ag 0.000 0.000 0.339
4 Ag 0.000 0.000 0.661
5 Ag 0.500 0.500 0.183
6 Ag 0.500 0.500 0.817

For the calculated density, the calculation gives 8.95 g/cm³. The total magnetization is 0.45 μB per formula unit. Its total energy is -4.251 eV/atom. As for the formation energy: -0.158 eV/atom.

(10)
Density functional theory data (PBE) for BaAg2Au2 after structural relaxation.

a = 6.851 Å, b = 6.851 Å, c = 6.851 Å
α = 141.31°, β = 141.31°, γ = 55.88°
Fractional coordinates of all 5 atoms:
1 Ba 0.000 0.000 0.000
2 Ag 0.250 0.750 0.500
3 Ag 0.750 0.250 0.500
4 Au 0.387 0.387 0.000
5 Au 0.613 0.613 0.000

For the calculated density, the calculation gives 9.94 g/cm³. Its total energy is -3.200 eV/atom.

(11)
Density functional theory data (PBE) for KPuNb after structural relaxation.

a = 5.108 Å, b = 5.108 Å, c = 5.108 Å
α = 60.00°, β = 60.00°, γ = 60.00°
Fractional coordinates of all 3 atoms:
1 K 0.000 0.000 0.000
2 Pu 0.500 0.500 0.500
3 Nb 0.250 0.250 0.250

The energy relative to the lowest polymorph listed for this composition is 0 meV per atom. For the calculated density, the calculation gives 6.63 g/cm³. The total magnetization is 2.58 μB per formula unit. Its total energy is -6.622 eV/atom.

(12)
Density functional theory data (PBE) for NiBr2 after structural relaxation.

a = 6.603 Å, b = 6.603 Å, c = 6.603 Å
α = 32.37°, β = 32.37°, γ = 32.37°
Fractional coordinates of all 3 atoms:
1 Ni 0.000 0.000 0.000
2 Br 0.259 0.259 0.259
3 Br 0.741 0.741 0.741

For the calculated density, the calculation gives 4.95 g/cm³. The total magnetization is 2.00 μB per formula unit. Its total energy is -3.317 eV/atom.